Record 1
This record from the Alexandria database describes SrPtW after structural relaxation. The functional is GGA-PBE.

Results
DFT formation energy in meV/atom: -18
E above lowest polymorph in meV/atom: 9
Space-group type: Ima2 (46)
Spin magnetization in μB per formula unit: 0.0

Cell: 5.7920 5.1038 5.7920 Å, 63.86 114.88 116.14°
With the nearest neighbours (Å) after each atom.
Positions (direct):
W (0.1184, 0.3910, 0.6184)  2 Pt 2.59, 2 W 2.60
Pt (0.5887, 0.7993, 0.6481)  2 W 2.59
Sr (0.4614, 0.4159, 0.2753)  6 Pt 3.13-3.51, 4 W 3.28-3.50, 2 Sr 3.32
Sr (0.7159, 0.1704, 0.0208)  6 Pt 3.13-3.51, 4 W 3.29-3.50, 2 Sr 3.32
Pt (0.0886, 0.7993, 0.1481)  2 W 2.59
W (0.0590, 0.8317, 0.6778)  2 Pt 2.59, 2 W 2.60


Record 2
This record from the Alexandria database describes Ce4Pu2Te3N2 after structural relaxation. The functional is GGA-PBE.

Results
Space-group type: I4/mmm (139)
Uncorrected formation energy in meV/atom: -1087
Spin magnetization in μB per formula unit: 16.6

Cell: 4.6867 4.6867 13.4554 Å, 100.03 100.03 90.00°
With the nearest neighbours (Å) after each atom.
Positions (direct):
Te (0.8195, 0.8195, 0.6391)  5 Pu 3.24-3.34, 4 Ce 3.39
Pu (0.3046, 0.3046, 0.6091)  1 N 2.29
Te (0.1805, 0.1805, 0.3609)  5 Pu 3.24-3.34, 4 Ce 3.39
Pu (0.6954, 0.6954, 0.3909)  1 N 2.29
Ce (0.9132, 0.4132, 0.8265)  2 N 2.41
N (0.6077, 0.6077, 0.2154)  1 Pu 2.29, 4 Ce 2.41
Ce (0.0868, 0.5868, 0.1735)  2 N 2.41
Ce (0.4132, 0.9132, 0.8265)  2 N 2.41
Te (0.0000, 0.0000, 0.0000)  8 Ce 3.26
N (0.3923, 0.3923, 0.7846)  1 Pu 2.29, 4 Ce 2.41
Ce (0.5868, 0.0868, 0.1735)  2 N 2.41


Record 3
This record from the Alexandria database describes ZrCuSeN2 after structural relaxation. The functional is GGA-PBE.

Results
E above lowest polymorph in meV/atom: 0
Space-group type: P4/mmm (123)
Uncorrected formation energy in meV/atom: 584
Spin magnetization in μB per formula unit: 0.5

Cell: 4.0670 4.0670 5.7965 Å, 90.00 90.00 90.00°
With the nearest neighbours (Å) after each atom.
Positions (direct):
N (0.5000, 0.0000, 0.0000)  2 Zr 2.03
Zr (0.0000, 0.0000, 0.0000)  4 N 2.03
Se (0.0000, 0.0000, 0.5000)  4 Cu 2.88, 2 Zr 2.90
N (0.0000, 0.5000, 0.0000)  2 Zr 2.03
Cu (0.5000, 0.5000, 0.5000)  4 Se 2.88


Record 4
This record from the Alexandria database describes Ho2Er3PuTe6 after structural relaxation. The functional is GGA-PBE.

Results
Space-group type: C2/m (12)
Uncorrected formation energy in meV/atom: -1222
Spin magnetization in μB per formula unit: 6.2

Cell: 4.3208 8.7160 9.7187 Å, 103.10 102.84 90.00°
With the nearest neighbours (Å) after each atom.
Positions (direct):
Te (0.0007, 0.7448, 0.0014)  3 Er 3.02-3.03, 1 Ho 3.02, 2 Pu 3.10
Er (0.5000, 0.5000, 0.0000)  6 Te 3.03-3.10
Te (0.3320, 0.4159, 0.6640)  3 Er 3.08-3.10, 3 Ho 3.09-3.11
Pu (0.5000, 0.0000, 0.0000)  6 Te 3.10-3.13
Er (0.1645, 0.8345, 0.3289)  6 Te 3.02-3.08
Te (0.6697, 0.0838, 0.3394)  3 Er 3.05-3.06, 2 Ho 3.06, 1 Pu 3.13
Te (0.9993, 0.2552, 0.9986)  3 Er 3.02-3.03, 1 Ho 3.02, 2 Pu 3.10
Er (0.8355, 0.1655, 0.6711)  6 Te 3.02-3.08
Te (0.3303, 0.9162, 0.6606)  3 Er 3.05-3.06, 2 Ho 3.06, 1 Pu 3.13
Te (0.6680, 0.5841, 0.3360)  3 Er 3.08-3.10, 3 Ho 3.09-3.11
Ho (0.8368, 0.6719, 0.6737)  6 Te 3.02-3.11
Ho (0.1632, 0.3281, 0.3263)  6 Te 3.02-3.11


Record 5
This record from the Alexandria database describes Ca4Ac3Cd4 after structural relaxation. The functional is GGA-PBE.

Results
DFT formation energy in meV/atom: -206
Space-group type: Immm (71)
Spin magnetization in μB per formula unit: 0.0

Cell: 3.9128 10.2529 11.1349 Å, 117.41 100.12 90.00°
With the nearest neighbours (Å) after each atom.
Positions (direct):
Ac (0.0966, 0.0966, 0.1931)  6 Cd 3.41-3.52, 1 Ac 3.74
Ac (0.9034, 0.9034, 0.8069)  6 Cd 3.41-3.52, 1 Ac 3.74
Cd (0.7408, 0.2408, 0.4815)  6 Ca 3.27-3.53, 2 Ac 3.41
Ac (0.0000, 0.5000, 0.0000)  4 Cd 3.47
Cd (0.2592, 0.7592, 0.5185)  6 Ca 3.27-3.53, 2 Ac 3.41
Ca (0.3339, 0.5200, 0.6678)  4 Cd 3.27-3.53
Cd (0.5000, 0.2200, 0.0000)  2 Ca 3.36, 6 Ac 3.47-3.52
Cd (0.5000, 0.7800, 0.0000)  2 Ca 3.36, 6 Ac 3.47-3.52
Ca (0.3339, 0.1478, 0.6678)  4 Cd 3.27-3.53
Ca (0.6661, 0.4800, 0.3322)  4 Cd 3.27-3.53
Ca (0.6661, 0.8522, 0.3322)  4 Cd 3.27-3.53